{
  "formula": "Mo3P3Se",
  "functional": "GGA-PBE",
  "state": "relaxed",
  "lattice_angstrom": [[7.371, 0.000, 0.000], [-3.686, 6.384, 0.000], [0.000, 0.000, 4.631]],
  "species": ["P", "P", "P", "P", "P", "P", "Mo", "Mo", "Mo", "Mo", "Mo", "Mo", "Se", "Se"],
  "fractional_positions": [[0.076, 0.415, 0.250], [0.585, 0.661, 0.250], [0.339, 0.924, 0.250], [0.924, 0.585, 0.750], [0.415, 0.339, 0.750], [0.661, 0.076, 0.750], [0.272, 0.218, 0.250], [0.782, 0.054, 0.250], [0.946, 0.728, 0.250], [0.728, 0.782, 0.750], [0.218, 0.946, 0.750], [0.054, 0.272, 0.750], [0.667, 0.333, 0.250], [0.333, 0.667, 0.750]],
  "volume_a3_per_cell": 218,
  "magnetic_moment_mub_per_cell": 0.00,
  "formation_energy_uncorrected_ev_per_atom": -0.13,
  "crystal_system": "hexagonal",
  "polymorph_energy_mev_per_atom": 0.0,
  "spacegroup": "No. 176"
}